# 1
The following is a DFT calculation (PBE-GGA) of crystalline KReOs2 at its relaxed geometry.

Its density of states at the Fermi level is 4.7 states/eV/f.u. For the raw total energy, the calculation gives -7.453 eV/atom.

It has space group Cmmm (No. 65), with a = 6.1657 Å, b = 8.4608 Å, c = 2.6004 Å, α = 90.00°, β = 90.00° and γ = 90.00°. The inequivalent atoms are K at (0.0000, 0.0000, 0.0000), Re at (0.0000, 0.5000, 0.0000) and Os at (0.2500, 0.2500, 0.5000).


# 2
The following is a DFT calculation (PBE-GGA) of crystalline KRe2Os at its relaxed geometry.

Its density of states at the Fermi level is 4.9 states/eV/f.u. For the raw total energy, the calculation gives -7.615 eV/atom.

It has space group Pmmm (No. 47), with a = 2.7461 Å, b = 4.9663 Å, c = 4.9893 Å, α = 90.00°, β = 90.00° and γ = 90.00°. The inequivalent atoms are K at (0.0000, 0.0000, 0.0000), Re at (0.0000, 0.5000, 0.5000), Re at (0.5000, 0.0000, 0.5000) and Os at (0.5000, 0.5000, 0.0000).


# 3
The following is a DFT calculation (PBE-GGA) of crystalline K2ReOs at its relaxed geometry.

Its density of states at the Fermi level is 3.8 states/eV/f.u. For the raw total energy, the calculation gives -5.097 eV/atom.

It has space group Cmmm (No. 65), with a = 2.9334 Å, b = 4.5966 Å, c = 11.8192 Å, α = 90.00°, β = 90.00° and γ = 90.00°. The inequivalent atoms are K at (0.0000, 0.0000, 0.2452), Re at (0.0000, 0.5000, 0.5000) and Os at (0.0000, 0.5000, 0.0000).


# 4
The following is a DFT calculation (PBE-GGA) of crystalline KReOs at its relaxed geometry.

Its density of states at the Fermi level is 6.4 states/eV/f.u. For the raw total energy, the calculation gives -4.572 eV/atom.

It has space group F-43m (No. 216), with a = 6.3675 Å, b = 6.3675 Å, c = 6.3675 Å, α = 90.00°, β = 90.00° and γ = 90.00°. The inequivalent atoms are K at (0.0000, 0.0000, 0.0000), Re at (0.2500, 0.2500, 0.2500) and Os at (0.2500, 0.2500, 0.7500).


# 5
The following is a DFT calculation (PBE-GGA) of crystalline K2ReOs at its relaxed geometry.

Its density of states at the Fermi level is 1.2 states/eV/f.u. For the raw total energy, the calculation gives -3.756 eV/atom.

It has space group Fm-3m (No. 225), with a = 7.7675 Å, b = 7.7675 Å, c = 7.7675 Å, α = 90.00°, β = 90.00° and γ = 90.00°. The inequivalent atoms are K at (0.2500, 0.2500, 0.2500), Re at (0.0000, 0.0000, 0.0000) and Os at (0.0000, 0.0000, 0.5000).


# 6
The following is a DFT calculation (PBE-GGA) of crystalline KReOs2 at its relaxed geometry.

Its density of states at the Fermi level is 2.3 states/eV/f.u. For the raw total energy, the calculation gives -7.338 eV/atom.

It has space group F-43m (No. 216), with a = 6.3798 Å, b = 6.3798 Å, c = 6.3798 Å, α = 90.00°, β = 90.00° and γ = 90.00°. The inequivalent atoms are K at (0.0000, 0.0000, 0.0000), Re at (0.2500, 0.2500, 0.2500), Os at (0.0000, 0.0000, 0.5000) and Os at (0.2500, 0.2500, 0.7500).


# 7
The following is a DFT calculation (PBE-GGA) of crystalline KRe2Os at its relaxed geometry.

Its density of states at the Fermi level is 4.7 states/eV/f.u. For the raw total energy, the calculation gives -7.677 eV/atom.

It has space group Cmmm (No. 65), with a = 5.5686 Å, b = 9.4927 Å, c = 2.5871 Å, α = 90.00°, β = 90.00° and γ = 90.00°. The inequivalent atoms are K at (0.0000, 0.0000, 0.0000), Re at (0.2500, 0.2500, 0.5000) and Os at (0.0000, 0.5000, 0.0000).


# 8
The following is a DFT calculation (PBE-GGA) of crystalline KRe2Os at its relaxed geometry.

Its density of states at the Fermi level is 4.2 states/eV/f.u. For the raw total energy, the calculation gives -8.345 eV/atom.

It has space group Cmmm (No. 65), with a = 2.8934 Å, b = 4.6148 Å, c = 10.5541 Å, α = 90.00°, β = 90.00° and γ = 90.00°. The inequivalent atoms are K at (0.0000, 0.0000, 0.0000), Re at (0.0000, 0.5000, 0.2878) and Os at (0.0000, 0.0000, 0.5000).


# 9
The following is a DFT calculation (PBE-GGA) of crystalline KReOs2 at its relaxed geometry.

Its density of states at the Fermi level is 4.6 states/eV/f.u. For the raw total energy, the calculation gives -7.912 eV/atom.

It has space group Pm (No. 6), with a = 2.7060 Å, b = 4.2747 Å, c = 7.4517 Å, α = 90.00°, β = 91.89° and γ = 90.00°. The inequivalent atoms are K at (0.0000, 0.0000, 0.0000), Re at (0.0659, 0.5000, 0.6277), Os at (0.5373, 0.5000, 0.3245) and Os at (0.5511, 0.0000, 0.5326).


# 10
The following is a DFT calculation (PBE-GGA) of crystalline K2ReOs at its relaxed geometry.

Its density of states at the Fermi level is 2.7 states/eV/f.u. For the raw total energy, the calculation gives -5.703 eV/atom.

It has space group Pm (No. 6), with a = 2.8417 Å, b = 4.0223 Å, c = 10.3363 Å, α = 90.00°, β = 95.72° and γ = 90.00°. The inequivalent atoms are K at (0.0000, 0.0000, 0.0000), K at (0.4830, 0.5000, 0.5736), Re at (0.5171, 0.5000, 0.2500) and Os at (0.9760, 0.0000, 0.3269).


# 11
The following is a DFT calculation (PBE-GGA) of crystalline KReOs3 at its relaxed geometry.

Its density of states at the Fermi level is 7.9 states/eV/f.u. For the raw total energy, the calculation gives -7.428 eV/atom.

It has space group Pm-3m (No. 221), with a = 4.8106 Å, b = 4.8106 Å, c = 4.8106 Å, α = 90.00°, β = 90.00° and γ = 90.00°. The inequivalent atoms are K at (0.0000, 0.0000, 0.0000), Re at (0.5000, 0.5000, 0.5000) and Os at (0.0000, 0.5000, 0.5000).


# 12
The following is a DFT calculation (PBE-GGA) of crystalline KReOs2 at its relaxed geometry.

Its density of states at the Fermi level is 1.1 states/eV/f.u. For the raw total energy, the calculation gives -7.468 eV/atom.

It has space group Fm-3m (No. 225), with a = 6.3945 Å, b = 6.3945 Å, c = 6.3945 Å, α = 90.00°, β = 90.00° and γ = 90.00°. The inequivalent atoms are K at (0.0000, 0.0000, 0.0000), Re at (0.0000, 0.0000, 0.5000) and Os at (0.2500, 0.2500, 0.2500).